Crystalline Zr3OF at its relaxed geometry. Source: Alexandria via LeMat-Bulk, functional PBE-GGA.

POSCAR file:
```
Zr3OF
1.0
4.4437 0.0000 0.0000
0.0000 4.4437 0.0000
0.0000 0.0000 4.4437
Zr F O
3 1 1
Cartesian
0.0000 2.2219 0.0000
2.2219 0.0000 0.0000
0.0000 0.0000 2.2219
2.2219 2.2219 2.2219
0.0000 0.0000 0.0000
```

## Properties
- electronic total energy (eV/atom) = -7.406
- total magnetic moment (μB per formula unit) = 0.0
- energy above the lowest structure with this stoichiometry (eV per atom) = 0.000
- uncorrected formation energy (eV per atom) = -0.91

=====

Crystalline ZrO2F4 at its relaxed geometry. Source: Alexandria via LeMat-Bulk, functional PBE-GGA.

POSCAR file:
```
ZrO2F4
1.0
-3.7434 -0.1200 1.8350
0.5852 -4.0231 0.9308
1.6988 -0.0164 8.2044
Zr F O
1 4 2
Cartesian
0.0000 0.0000 0.0000
-2.3485 -3.6354 4.4508
0.8891 -0.5241 6.5193
-1.8717 -0.0600 0.9175
0.2926 -2.0116 0.4654
-1.3894 -3.0341 6.4468
-0.0700 -1.1254 4.5233
```

## Properties
- electronic total energy (eV/atom) = -5.386
- total magnetic moment (μB per formula unit) = 4.0
- energy above the lowest structure with this stoichiometry (eV per atom) = 0.126
- uncorrected formation energy (eV per atom) = -1.68

=====

Crystalline ZrO2F2 at its relaxed geometry. Source: Alexandria via LeMat-Bulk, functional PBE-GGA.

POSCAR file:
```
ZrO2F2
1.0
-0.5749 3.2131 -1.6051
0.9966 -1.4190 -3.1975
-3.7457 -1.0259 -0.7122
O F Zr
2 2 1
Cartesian
-0.2874 1.6066 -0.8025
0.4983 -0.7095 -1.5988
-1.8729 -0.5130 -0.3561
0.0000 0.0000 0.0000
-1.6620 0.3841 -2.7574
```

## Properties
- electronic total energy (eV/atom) = -5.098
- total magnetic moment (μB per formula unit) = 0.3
- uncorrected formation energy (eV per atom) = -0.66

=====

Crystalline ZrO3F at its relaxed geometry. Source: Alexandria via LeMat-Bulk, functional PBE-GGA.

POSCAR file:
```
ZrO3F
1.0
-3.5437 -1.3581 1.6266
0.2040 -3.3734 -2.3721
2.1092 -1.9555 2.9624
O Zr F
3 1 1
Cartesian
1.0546 -0.9778 1.4812
-1.7719 -0.6790 0.8133
0.1020 -1.6867 -1.1860
0.0000 0.0000 0.0000
-0.6153 -3.3435 1.1085
```

## Properties
- electronic total energy (eV/atom) = -6.409
- total magnetic moment (μB per formula unit) = 3.0
- uncorrected formation energy (eV per atom) = -1.35

=====

Crystalline ZrO2F at its relaxed geometry. Source: Alexandria via LeMat-Bulk, functional PBE-GGA.

POSCAR file:
```
ZrO2F
1.0
3.6095 -0.6120 0.9948
1.6221 2.1505 2.6714
0.8059 -1.4825 3.3978
F O Zr
1 2 1
Cartesian
0.0000 0.0000 0.0000
4.5281 0.0421 5.2980
1.5094 0.0140 1.7660
3.0187 0.0280 3.5320
```

## Properties
- electronic total energy (eV/atom) = -7.248
- total magnetic moment (μB per formula unit) = 1.0
- uncorrected formation energy (eV per atom) = -2.16

=====

Crystalline ZrO2F4 at its relaxed geometry. Source: Alexandria via LeMat-Bulk, functional PBE-GGA.

POSCAR file:
```
ZrO2F4
1.0
3.5108 0.0000 -0.5872
-0.1304 3.5437 -0.7800
-0.4535 0.5189 8.0781
O F Zr
2 4 1
Cartesian
0.5623 1.3931 3.3620
2.3646 2.6694 3.3489
0.1233 2.0215 0.7371
2.8036 2.0411 5.9738
1.9466 0.2482 0.8493
0.9803 3.8144 5.8616
0.0000 0.0000 0.0000
```

## Properties
- electronic total energy (eV/atom) = -5.512
- total magnetic moment (μB per formula unit) = 4.0
- energy above the lowest structure with this stoichiometry (eV per atom) = 0.000
- uncorrected formation energy (eV per atom) = -1.80

=====

Crystalline ZrOF4 at its relaxed geometry. Source: Alexandria via LeMat-Bulk, functional PBE-GGA.

POSCAR file:
```
ZrOF4
1.0
-0.4752 -4.3907 6.8444
5.7533 5.0146 2.8468
-6.8752 3.3731 -2.7757
O F Zr
4 16 4
Cartesian
-1.5624 -0.2591 5.9138
4.4847 0.5301 8.2345
0.7933 0.0938 1.4567
-3.1490 -0.4466 3.0005
0.0735 3.4909 6.0243
1.8003 2.0097 1.9325
2.3512 1.1291 8.2103
3.1194 2.8628 4.5288
-0.0760 -2.4997 6.5191
-1.6823 0.5047 0.8698
-1.5095 6.4981 0.4177
-2.0273 3.1072 0.7950
-3.8326 -1.2949 5.3361
-1.4859 -2.0682 4.0799
-6.1279 1.6646 -0.0304
-0.8671 0.5906 3.5996
-1.2179 3.1907 3.7185
-3.2372 1.3612 4.8130
-4.6252 1.1450 2.5544
0.3388 0.8790 5.9527
-1.0650 -1.0204 2.2214
-1.2368 1.9245 5.2769
-2.1551 -2.4742 6.0602
-4.9659 0.1588 4.2701
```

## Properties
- electronic total energy (eV/atom) = -6.027
- total magnetic moment (μB per formula unit) = 2.1
- uncorrected formation energy (eV per atom) = -2.53

=====

Crystalline ZrOF3 at its relaxed geometry. Source: Alexandria via LeMat-Bulk, functional PBE-GGA.

POSCAR file:
```
ZrOF3
1.0
4.1373 0.0000 0.0000
0.0000 4.1373 0.0000
0.0000 0.0000 4.1373
Zr O F
1 1 3
Cartesian
0.0000 0.0000 0.0000
2.0686 2.0686 2.0686
0.0000 0.0000 2.0686
2.0686 0.0000 0.0000
0.0000 2.0686 0.0000
```

## Properties
- electronic total energy (eV/atom) = -6.170
- total magnetic moment (μB per formula unit) = 1.0
- uncorrected formation energy (eV per atom) = -2.35

=====

Crystalline Zr2OF at its relaxed geometry. Source: Alexandria via LeMat-Bulk, functional PBE-GGA.

POSCAR file:
```
Zr2OF
1.0
-0.1390 0.6568 -5.1051
-3.1273 -4.0671 -0.4381
-5.7092 1.3745 -2.2645
F Zr O
2 4 2
Cartesian
-3.7406 0.1631 -5.0706
0.0000 0.0000 0.0000
-3.4043 -2.0921 -1.6658
-1.8999 0.2216 -3.6239
-5.6217 -0.3975 -3.7932
-7.0249 -1.8036 -6.5326
-1.6331 -1.7051 -2.7716
-5.2348 -2.1989 -2.7371
```

## Properties
- electronic total energy (eV/atom) = -7.849
- total magnetic moment (μB per formula unit) = 0.9
- energy above the lowest structure with this stoichiometry (eV per atom) = 0.000
- uncorrected formation energy (eV per atom) = -1.87

=====

Crystalline ZrO2F2 at its relaxed geometry. Source: Alexandria via LeMat-Bulk, functional PBE-GGA.

POSCAR file:
```
ZrO2F2
1.0
4.0991 0.0000 0.0000
0.0000 4.0991 0.0000
0.0000 0.0000 3.2788
O F Zr
2 2 1
Cartesian
0.0000 0.0000 1.6394
0.0000 0.0000 0.0000
0.0000 2.0495 0.0000
2.0495 0.0000 0.0000
2.0495 2.0495 1.6394
```

## Properties
- electronic total energy (eV/atom) = -4.989
- total magnetic moment (μB per formula unit) = 0.0
- uncorrected formation energy (eV per atom) = -0.55

=====

Crystalline ZrOF3 at its relaxed geometry. Source: Alexandria via LeMat-Bulk, functional PBE-GGA.

POSCAR file:
```
ZrOF3
1.0
3.9351 0.0000 0.0000
0.0000 3.9351 0.0000
0.0000 0.0000 3.9351
F O Zr
3 1 1
Cartesian
0.0000 0.0000 1.9675
1.9675 0.0000 0.0000
0.0000 1.9675 0.0000
0.0000 0.0000 0.0000
1.9675 1.9675 1.9675
```

## Properties
- electronic total energy (eV/atom) = -4.394
- total magnetic moment (μB per formula unit) = 1.6
- uncorrected formation energy (eV per atom) = -0.57

=====

Crystalline ZrO2F2 at its relaxed geometry. Source: Alexandria via LeMat-Bulk, functional PBE-GGA.

POSCAR file:
```
ZrO2F2
1.0
-3.8250 -1.7458 0.2909
1.6740 -3.3438 1.9441
-0.5546 1.8147 3.5988
F O Zr
2 2 1
Cartesian
0.8370 -1.6719 0.9721
-1.9125 -0.8729 0.1454
-1.3528 -1.6375 2.9169
-0.2773 0.9073 1.7994
0.0000 0.0000 0.0000
```

## Properties
- electronic total energy (eV/atom) = -6.623
- total magnetic moment (μB per formula unit) = 2.0
- uncorrected formation energy (eV per atom) = -2.18

=====

Crystalline OsF at its relaxed geometry. Source: Alexandria via LeMat-Bulk, functional PBE-GGA.

POSCAR file:
```
OsF
1.0
-0.3757 -2.1273 1.6839
7.3414 -1.1423 0.1947
0.7173 5.9101 7.6265
Os F
6 6
Cartesian
0.3086 1.1048 3.6922
0.4909 2.6067 5.6303
2.3090 2.6516 3.8650
5.2032 -1.9025 0.9849
7.7387 4.0524 6.8460
7.2036 -0.3558 1.1577
1.4953 -0.2290 2.2720
3.7257 1.3382 4.7495
3.7865 -0.5892 0.1004
6.2782 3.1305 5.3556
6.0169 0.9780 2.5779
1.9513 3.5286 7.1208
```

## Properties
- electronic total energy (eV/atom) = -6.838
- total magnetic moment (μB per formula unit) = 0.0
- energy above the lowest structure with this stoichiometry (eV per atom) = 0.316
- uncorrected formation energy (eV per atom) = -0.29

=====

Crystalline OsF at its relaxed geometry. Source: Alexandria via LeMat-Bulk, functional PBE-GGA.

POSCAR file:
```
OsF
1.0
4.9392 0.0000 0.0000
0.0000 4.9392 0.0000
0.0000 0.0000 4.9392
F Os
4 4
Cartesian
0.0000 0.0000 0.0000
2.4696 2.4696 0.0000
0.0000 2.4696 2.4696
2.4696 0.0000 2.4696
0.0000 2.4696 0.0000
2.4696 2.4696 2.4696
2.4696 0.0000 0.0000
0.0000 0.0000 2.4696
```

## Properties
- electronic total energy (eV/atom) = -4.909
- total magnetic moment (μB per formula unit) = 3.3
- energy above the lowest structure with this stoichiometry (eV per atom) = 2.245
- uncorrected formation energy (eV per atom) = 1.64

=====

Crystalline OsF at its relaxed geometry. Source: Alexandria via LeMat-Bulk, functional PBE-GGA.

POSCAR file:
```
OsF
1.0
-6.4672 7.0538 -4.8766
-8.5385 -5.8629 2.8429
-0.2034 1.4297 2.3378
F Os
8 8
Cartesian
-5.3332 -1.7656 0.6159
-9.4270 5.8020 -2.7536
-5.7820 -3.1814 3.0576
-4.6447 2.5621 -1.9710
-9.6725 2.9565 -2.6495
-10.3610 -1.3712 -0.0627
-12.9377 -0.4552 0.7679
-2.2713 3.0759 -0.4638
-7.0800 -2.7633 1.0741
-9.0630 -1.7893 1.9209
-6.1460 4.4100 -1.6168
-4.0471 0.2004 1.1403
-3.5574 1.1099 -0.9883
-7.9257 3.9542 -3.1078
-11.1619 2.4203 -0.8362
-11.4483 0.0810 -1.0454
```

## Properties
- electronic total energy (eV/atom) = -6.547
- total magnetic moment (μB per formula unit) = 0.6
- energy above the lowest structure with this stoichiometry (eV per atom) = 0.607
- uncorrected formation energy (eV per atom) = 0.00

=====

Crystalline Os4F at its relaxed geometry. Source: Alexandria via LeMat-Bulk, functional PBE-GGA.

POSCAR file:
```
Os4F
1.0
4.1529 0.0000 0.0000
0.0000 4.1529 0.0000
0.0000 0.0000 4.1529
Os F
4 1
Cartesian
2.0764 0.0000 2.0764
0.0000 2.0764 2.0764
0.0000 0.0000 0.0000
2.0764 2.0764 0.0000
2.0764 2.0764 2.0764
```

## Properties
- electronic total energy (eV/atom) = -7.662
- total magnetic moment (μB per formula unit) = 0.0
- uncorrected formation energy (eV per atom) = 1.70

=====

Crystalline OsF at its relaxed geometry. Source: Alexandria via LeMat-Bulk, functional PBE-GGA.

POSCAR file:
```
OsF
1.0
9.3263 0.0000 0.0000
0.0000 9.3263 0.0000
0.0000 0.0000 2.7499
Os F
8 8
Cartesian
3.5179 1.2815 1.3749
0.8881 3.7190 0.0000
1.2815 5.8084 1.3749
8.4382 5.6073 0.0000
5.6073 0.8881 0.0000
3.7190 8.4382 0.0000
5.8084 8.0448 1.3749
8.0448 3.5179 1.3749
7.5614 1.4459 0.0000
1.7649 7.8804 0.0000
1.4459 1.7649 0.0000
6.2117 6.0926 1.3749
7.8804 7.5614 0.0000
3.1146 3.2337 1.3749
3.2337 6.2117 1.3749
6.0926 3.1146 1.3749
```

## Properties
- electronic total energy (eV/atom) = -7.154
- total magnetic moment (μB per formula unit) = 0.0
- energy above the lowest structure with this stoichiometry (eV per atom) = 0.000
- uncorrected formation energy (eV per atom) = -0.60

=====

Crystalline OsF at its relaxed geometry. Source: Alexandria via LeMat-Bulk, functional PBE-GGA.

POSCAR file:
```
OsF
1.0
-4.2498 1.0379 5.9152
-2.8750 -0.9076 -1.9064
1.2595 -9.3282 2.5416
F Os
8 8
Cartesian
-1.9475 -5.9656 1.0375
-4.5216 -3.8898 3.3992
-5.5123 -1.5808 2.4464
-2.2027 -0.7164 1.7285
-3.0589 -7.8241 6.9357
-1.1092 -8.2374 2.2024
-2.7362 -5.1858 6.5406
-2.3730 -3.3919 1.9115
-0.5962 -3.2255 0.7032
-5.9531 -1.3255 4.5404
-5.6143 -4.0460 5.1206
-1.1108 -0.5604 0.0065
-2.2321 -5.9093 4.5741
-3.1575 -5.2470 2.5212
-1.8481 -8.5424 5.4526
-2.9492 -7.9356 3.2831
```

## Properties
- electronic total energy (eV/atom) = -6.833
- total magnetic moment (μB per formula unit) = 0.0
- energy above the lowest structure with this stoichiometry (eV per atom) = 0.321
- uncorrected formation energy (eV per atom) = -0.28

=====

Crystalline OsF5 at its relaxed geometry. Source: Alexandria via LeMat-Bulk, functional PBE-GGA.

POSCAR file:
```
OsF5
1.0
5.1581 -0.4876 -2.0460
-2.4702 4.9792 -0.3676
-0.1973 0.5448 7.6770
F Os
10 2
Cartesian
1.9307 1.6390 3.6332
-1.5059 4.9363 5.9421
2.7378 2.7809 -1.6224
3.9965 0.1001 -0.6787
4.0608 0.8755 2.2323
-1.5702 4.1609 3.0310
1.5829 0.5870 1.1000
-0.2472 2.2555 6.8858
0.5598 3.3974 1.6302
0.9077 4.4494 4.1633
0.0000 0.0000 0.0000
2.4804 0.0286 2.8155
```

## Properties
- electronic total energy (eV/atom) = -5.074
- total magnetic moment (μB per formula unit) = 3.0
- energy above the lowest structure with this stoichiometry (eV per atom) = 0.050
- uncorrected formation energy (eV per atom) = -1.64

=====

Crystalline OsF at its relaxed geometry. Source: Alexandria via LeMat-Bulk, functional PBE-GGA.

POSCAR file:
```
OsF
1.0
8.8056 0.0000 0.0000
0.0000 8.8056 0.0000
0.0000 0.0000 2.6030
F Os
4 4
Cartesian
6.3789 6.3789 1.3015
6.8295 1.9761 0.0000
1.9761 6.8295 0.0000
2.4267 2.4267 1.3015
0.7803 8.0253 1.3015
5.1831 5.1831 0.0000
8.0253 0.7803 1.3015
3.6225 3.6225 0.0000
```

## Properties
- electronic total energy (eV/atom) = -6.300
- total magnetic moment (μB per formula unit) = 0.2
- energy above the lowest structure with this stoichiometry (eV per atom) = 0.854
- uncorrected formation energy (eV per atom) = 0.25